Record 1
First-principles (PBE) data for a geometry-optimized ZnCuP2O7 structure, as listed in the Alexandria database.

The structure in POSCAR format:
```
ZnCuP2O7
1.0
3.4360 -4.1532 0.0000
3.4360 4.1532 0.0000
-1.4576 0.0000 4.3813
Zn Cu P O
1 1 2 7
Direct
0.0000 0.0000 0.0000
0.6208 0.3792 0.0000
0.1096 0.4824 0.5915
0.5176 0.8904 0.4085
0.2526 0.3197 0.7750
0.3276 0.6724 0.5000
0.3634 0.0428 0.2304
0.6803 0.7474 0.2250
0.6896 0.0710 0.7179
0.9290 0.3104 0.2821
0.9572 0.6366 0.7696
```

Results
total magnetization = 1.0 Bohr magnetons per cell
relative energy among the computed polymorphs = 17 meV/atom
calculated volume = 11.37 A^3/atom
calculated total energy = -70.19 eV per cell
formation energy from raw total energies = -169.2 kJ per mole of atoms

***

Record 2
First-principles (PBE) data for a geometry-optimized ZnCu2P2O6 structure, as listed in the Alexandria database.

The structure in POSCAR format:
```
ZnCu2P2O6
1.0
5.1201 0.0000 0.0000
-2.5601 4.4342 0.0000
0.0000 0.0000 5.9219
Zn Cu P O
1 2 2 6
Direct
0.0000 0.0000 0.0000
0.3333 0.6667 0.6686
0.6667 0.3333 0.3314
0.3333 0.6667 0.2937
0.6667 0.3333 0.7063
0.0551 0.3656 0.2078
0.3105 0.9449 0.2078
0.3656 0.3105 0.7922
0.6344 0.6895 0.2078
0.6895 0.0551 0.7922
0.9449 0.6344 0.7922
```

Results
total magnetization = 0.0 Bohr magnetons per cell
calculated volume = 12.22 A^3/atom
calculated total energy = -64.82 eV per cell
formation energy from raw total energies = -129.7 kJ per mole of atoms

***

Record 3
First-principles (PBE) data for a geometry-optimized ZnCuP2O7 structure, as listed in the Alexandria database.

The structure in POSCAR format:
```
ZnCuP2O7
1.0
6.9850 0.0000 0.0000
0.0000 8.3161 0.0000
-3.2489 0.0000 8.6162
Zn Cu P O
4 4 8 28
Direct
0.2311 0.0659 0.0998
0.2311 0.4341 0.5998
0.7689 0.5659 0.4002
0.7689 0.9341 0.9002
0.2806 0.0589 0.6543
0.2806 0.4411 0.1543
0.7194 0.5589 0.8457
0.7194 0.9411 0.3457
0.0523 0.7349 0.7366
0.0523 0.7651 0.2366
0.4478 0.7280 0.0212
0.4478 0.7720 0.5212
0.5522 0.2280 0.4788
0.5522 0.2720 0.9788
0.9477 0.2349 0.7634
0.9477 0.2651 0.2634
0.0184 0.5989 0.6171
0.0184 0.9011 0.1171
0.0946 0.6035 0.1794
0.0946 0.8965 0.6794
0.1304 0.2434 0.7044
0.1304 0.2566 0.2044
0.2420 0.6745 0.8841
0.2420 0.8255 0.3841
0.3824 0.2358 0.5514
0.3824 0.2642 0.0514
0.4241 0.6094 0.5878
0.4241 0.8906 0.0878
0.4872 0.5897 0.1390
0.4872 0.9103 0.6390
0.5128 0.0897 0.3610
0.5128 0.4103 0.8610
0.5759 0.1094 0.9122
0.5759 0.3906 0.4122
0.6176 0.7358 0.9486
0.6176 0.7642 0.4486
0.7580 0.1745 0.6159
0.7580 0.3255 0.1159
0.8696 0.7434 0.7956
0.8696 0.7566 0.2956
0.9054 0.1035 0.3206
0.9054 0.3965 0.8206
0.9816 0.0989 0.8829
0.9816 0.4011 0.3829
```

Results
total magnetization = 4.0 Bohr magnetons per cell
relative energy among the computed polymorphs = 0 meV/atom
calculated volume = 11.37 A^3/atom
calculated total energy = -281.51 eV per cell
formation energy from raw total energies = -170.9 kJ per mole of atoms

***

Record 4
First-principles (PBE) data for a geometry-optimized ZnCu2PO6 structure, as listed in the Alexandria database.

The structure in POSCAR format:
```
ZnCu2PO6
1.0
4.2750 -5.8451 0.0000
4.2750 5.8451 0.0000
-1.1841 0.0000 6.1219
Zn Cu P O
2 4 2 12
Direct
0.1319 0.8681 0.7500
0.8681 0.1319 0.2500
0.3343 0.4020 0.8443
0.4020 0.3343 0.3443
0.5980 0.6657 0.6557
0.6657 0.5980 0.1557
0.1075 0.8925 0.2500
0.8925 0.1075 0.7500
0.1236 0.1593 0.7787
0.1593 0.1236 0.2787
0.1755 0.8107 0.0449
0.1893 0.8245 0.4551
0.3395 0.4810 0.5738
0.4810 0.3395 0.0738
0.5190 0.6605 0.9262
0.6605 0.5190 0.4262
0.8107 0.1755 0.5449
0.8245 0.1893 0.9551
0.8407 0.8764 0.7213
0.8764 0.8407 0.2213
```

Results
total magnetization = 2.1 Bohr magnetons per cell
calculated volume = 15.30 A^3/atom
calculated total energy = -113.43 eV per cell
formation energy from raw total energies = -116.6 kJ per mole of atoms

***

Record 5
First-principles (PBE) data for a geometry-optimized ZnCuP2O7 structure, as listed in the Alexandria database.

The structure in POSCAR format:
```
ZnCuP2O7
1.0
6.1558 0.0000 0.0000
0.9793 6.2876 0.0000
1.9420 2.1241 6.7807
Zn Cu P O
2 2 4 14
Direct
0.0614 0.2108 0.3065
0.9386 0.7892 0.6935
0.3296 0.4043 0.7290
0.6704 0.5957 0.2710
0.1633 0.7090 0.2661
0.3905 0.8610 0.8311
0.6095 0.1390 0.1689
0.8367 0.2910 0.7339
0.0059 0.4425 0.7429
0.0495 0.8686 0.3876
0.2453 0.8718 0.0498
0.2556 0.7146 0.7722
0.3556 0.5583 0.3453
0.3757 0.2439 0.1428
0.3787 0.1018 0.7042
0.6213 0.8982 0.2958
0.6243 0.7561 0.8572
0.6444 0.4417 0.6547
0.7444 0.2854 0.2278
0.7547 0.1282 0.9502
0.9505 0.1314 0.6124
0.9941 0.5575 0.2571
```

Results
total magnetization = 2.0 Bohr magnetons per cell
relative energy among the computed polymorphs = 4 meV/atom
calculated volume = 11.93 A^3/atom
calculated total energy = -140.68 eV per cell
formation energy from raw total energies = -170.5 kJ per mole of atoms

***

Record 6
First-principles (PBE) data for a geometry-optimized ZnCuP2O structure, as listed in the Alexandria database.

The structure in POSCAR format:
```
ZnCuP2O
1.0
4.8596 0.0000 0.0000
0.0000 4.8596 0.0000
0.0000 0.0000 3.4995
Zn Cu P O
1 1 2 1
Direct
0.0000 0.0000 0.0000
0.5000 0.5000 0.5000
0.0000 0.5000 0.0000
0.5000 0.0000 0.0000
0.0000 0.0000 0.5000
```

Results
total magnetization = 0.0 Bohr magnetons per cell
relative energy among the computed polymorphs = 222 meV/atom
calculated volume = 16.53 A^3/atom
calculated total energy = -17.52 eV per cell
formation energy from raw total energies = 70.1 kJ per mole of atoms